1.
! Pr2Re2N7, relaxed, DFT PBE; values from VASP
&SYSTEM
  ibrav = 0, nat = 11, ntyp = 3
/
ATOMIC_SPECIES
Pr 140.91 Pr.upf
Re 186.21 Re.upf
N 14.01 N.upf
ATOMIC_POSITIONS angstrom
Pr 3.815 3.022 0.000
Pr 3.815 -3.022 0.000
Re 1.448 0.000 3.032
Re 5.036 0.000 2.050
N 1.076 1.486 3.992
N 0.521 0.000 1.466
N 1.076 -1.486 3.992
N 3.242 0.000 2.541
N 5.408 1.486 1.090
N 5.963 0.000 3.616
N 5.408 -1.486 1.090
CELL_PARAMETERS angstrom
3.815 -4.995 0.000
3.815 4.995 0.000
-1.146 0.000 5.082
! Formation energy from raw total energies: -0.4354 eV/atom
! Crystal system: monoclinic
! Spin magnetization: 0.09 μB per atom



2.
! Pr3Re5N12, relaxed, DFT PBE; values from VASP
&SYSTEM
  ibrav = 0, nat = 80, ntyp = 3
/
ATOMIC_SPECIES
Pr 140.91 Pr.upf
Re 186.21 Re.upf
N 14.01 N.upf
ATOMIC_POSITIONS angstrom
Pr 3.251 1.625 0.000
Pr 6.501 3.251 -1.625
Pr 1.625 0.000 3.251
Pr 8.126 0.000 3.251
Pr 0.000 3.251 1.625
Pr 3.251 -1.625 6.501
Pr 3.251 8.126 0.000
Pr 6.501 3.251 4.876
Pr -1.625 6.501 3.251
Pr 4.876 6.501 3.251
Pr 0.000 3.251 8.126
Pr 3.251 4.876 6.501
Re 0.000 0.000 0.000
Re 3.251 3.251 -3.251
Re 3.251 -3.251 3.251
Re 6.501 0.000 0.000
Re 9.752 1.625 0.000
Re 6.501 -3.251 4.876
Re 4.876 6.501 -3.251
Re 4.876 0.000 3.251
Re 3.251 4.876 0.000
Re 6.501 3.251 1.625
Re -3.251 3.251 3.251
Re 0.000 6.501 0.000
Re 0.000 0.000 6.501
Re 3.251 3.251 3.251
Re 0.000 3.251 4.876
Re 3.251 1.625 6.501
Re 1.625 6.501 3.251
Re 1.625 0.000 9.752
Re 0.000 9.752 1.625
Re -3.251 4.876 6.501
N 1.914 -0.462 0.559
N 7.838 3.809 -3.712
N 8.415 0.462 0.559
N 7.838 -2.692 3.712
N 6.039 -0.559 1.914
N 10.213 -1.337 2.692
N 0.559 1.914 -0.462
N 9.193 2.789 -1.337
N 3.809 3.712 -1.337
N 5.942 1.914 0.462
N -0.462 0.559 1.914
N 3.712 -1.337 3.809
N 6.039 5.942 -1.914
N 3.712 1.337 2.692
N 3.809 -3.712 7.838
N 5.942 -1.914 6.039
N 2.692 3.712 1.337
N 7.060 4.587 0.462
N 3.712 7.838 -2.692
N 6.039 0.559 4.587
N 1.914 6.039 -0.559
N 7.838 2.692 2.789
N 1.337 2.692 3.712
N 1.914 0.462 5.942
N 4.587 6.039 0.559
N 5.164 3.809 2.789
N -1.337 3.809 3.712
N 4.587 0.462 7.060
N 0.462 5.942 1.914
N 2.789 -1.337 9.193
N -0.559 1.914 6.039
N 3.809 2.789 5.164
N 0.559 8.415 0.462
N 2.692 10.213 -1.337
N 2.789 5.164 3.809
N 0.462 0.559 8.415
N 2.789 7.838 2.692
N 6.963 5.942 4.587
N 0.559 4.587 6.039
N 2.692 2.789 7.838
N -2.692 3.712 7.838
N 5.942 4.587 6.963
N -3.712 7.838 3.809
N 0.462 7.060 4.587
N -1.337 9.193 2.789
N -1.914 6.039 5.942
N -1.337 2.692 10.213
N 4.587 6.963 5.942
CELL_PARAMETERS angstrom
-6.501 6.501 6.501
6.501 -6.501 6.501
6.501 6.501 -6.501
! Formation energy from raw total energies: -0.4995 eV/atom
! Crystal system: cubic
! Spin magnetization: 0.00 μB per atom



3.
! Pr2Re2N5, relaxed, DFT PBE; values from VASP
&SYSTEM
  ibrav = 0, nat = 18, ntyp = 3
/
ATOMIC_SPECIES
Pr 140.91 Pr.upf
Re 186.21 Re.upf
N 14.01 N.upf
ATOMIC_POSITIONS angstrom
Pr 1.834 0.020 0.000
Pr 5.996 0.020 0.000
Pr 1.834 2.790 2.806
Pr 5.996 2.790 2.806
Re 3.915 -0.125 2.826
Re 0.000 2.811 0.003
Re 0.000 0.000 2.809
Re 3.915 2.936 0.021
N 8.028 1.402 -1.397
N 7.631 -1.409 1.408
N 11.744 1.282 -1.269
N 2.035 2.529 0.000
N 5.794 2.529 0.000
N -0.198 1.409 1.408
N 8.028 1.409 1.408
N -3.915 1.529 1.536
N 2.035 0.282 2.806
N 5.794 0.282 2.806
CELL_PARAMETERS angstrom
-7.830 2.811 2.806
7.830 -2.811 2.806
7.830 2.811 -2.806
! Formation energy from raw total energies: -0.6696 eV/atom
! Crystal system: orthorhombic
! Spin magnetization: 0.00 μB per atom
! E above lowest polymorph: 21 meV/atom



4.
! PrRe2N8, relaxed, DFT PBE; values from VASP
&SYSTEM
  ibrav = 0, nat = 11, ntyp = 3
/
ATOMIC_SPECIES
Pr 140.91 Pr.upf
Re 186.21 Re.upf
N 14.01 N.upf
ATOMIC_POSITIONS angstrom
Pr 0.000 0.000 0.000
Re 0.000 2.326 3.195
Re 2.326 0.000 3.195
N 1.169 1.169 1.921
N 1.169 1.169 4.470
N 1.169 3.482 1.921
N 1.169 3.482 4.470
N 3.482 1.169 1.921
N 3.482 1.169 4.470
N 3.482 3.482 1.921
N 3.482 3.482 4.470
CELL_PARAMETERS angstrom
4.652 0.000 0.000
0.000 4.652 0.000
0.000 0.000 6.390
! Formation energy from raw total energies: 1.1256 eV/atom
! Crystal system: tetragonal
! Spin magnetization: 0.00 μB per atom



5.
! Pr3ReN6, relaxed, DFT PBE; values from VASP
&SYSTEM
  ibrav = 0, nat = 20, ntyp = 3
/
ATOMIC_SPECIES
Pr 140.91 Pr.upf
Re 186.21 Re.upf
N 14.01 N.upf
ATOMIC_POSITIONS angstrom
Pr 4.928 4.899 2.749
Pr 3.026 1.338 2.925
Pr 3.026 -1.338 0.176
Pr 6.830 1.338 2.925
Pr 6.830 -1.338 0.176
Pr 4.928 -4.899 0.000
Re 4.928 2.434 0.430
Re 4.928 -2.434 3.179
N 3.474 3.221 1.210
N 1.566 0.100 1.487
N 1.566 -0.100 4.236
N 4.928 2.570 4.089
N 6.382 3.221 1.210
N 4.928 0.718 1.075
N 4.928 -0.718 3.824
N 3.474 -3.221 3.959
N 4.928 -2.570 1.339
N 8.290 0.100 1.487
N 8.290 -0.100 4.236
N 6.382 -3.221 3.959
CELL_PARAMETERS angstrom
4.928 -6.226 0.000
4.928 6.226 0.000
0.000 0.000 5.498
! Formation energy from raw total energies: -0.7152 eV/atom
! Crystal system: orthorhombic
! Spin magnetization: 0.06 μB per atom



6.
! PrRe2N7, relaxed, DFT PBE; values from VASP
&SYSTEM
  ibrav = 0, nat = 10, ntyp = 3
/
ATOMIC_SPECIES
Pr 140.91 Pr.upf
Re 186.21 Re.upf
N 14.01 N.upf
ATOMIC_POSITIONS angstrom
Pr 0.000 0.000 0.000
Re 3.189 1.949 1.910
Re 3.189 -1.949 1.910
N 1.307 1.276 1.910
N 3.189 2.213 0.000
N 1.307 -1.276 1.910
N 3.189 0.000 1.910
N 5.070 1.276 1.910
N 3.189 -2.213 0.000
N 5.070 -1.276 1.910
CELL_PARAMETERS angstrom
3.189 -4.924 0.000
3.189 4.924 0.000
0.000 0.000 3.819
! Formation energy from raw total energies: 0.5093 eV/atom
! Crystal system: orthorhombic
! Spin magnetization: 0.00 μB per atom



7.
! Pr3Re2N6, relaxed, DFT PBE; values from VASP
&SYSTEM
  ibrav = 0, nat = 11, ntyp = 3
/
ATOMIC_SPECIES
Pr 140.91 Pr.upf
Re 186.21 Re.upf
N 14.01 N.upf
ATOMIC_POSITIONS angstrom
Pr 0.000 0.000 0.000
Pr 0.000 0.000 3.654
Pr 0.000 0.000 16.175
Re 0.000 0.000 8.078
Re 0.000 0.000 11.752
N 1.975 0.000 1.742
N 0.000 0.000 6.019
N 1.975 0.000 8.173
N 0.000 1.975 1.742
N 0.000 0.000 13.811
N 0.000 1.975 8.173
CELL_PARAMETERS angstrom
-1.975 1.975 9.915
1.975 -1.975 9.915
1.975 1.975 -9.915
! Formation energy from raw total energies: -0.8396 eV/atom
! Crystal system: tetragonal
! Spin magnetization: 0.00 μB per atom



8.
! PrReN2, relaxed, DFT PBE; values from VASP
&SYSTEM
  ibrav = 0, nat = 4, ntyp = 3
/
ATOMIC_SPECIES
Pr 140.91 Pr.upf
Re 186.21 Re.upf
N 14.01 N.upf
ATOMIC_POSITIONS angstrom
Pr 0.000 0.000 0.000
Re 1.148 1.150 2.742
N -0.002 0.022 3.901
N 2.298 0.022 1.583
CELL_PARAMETERS angstrom
2.277 -2.276 0.000
2.277 2.276 0.000
-2.258 0.000 5.484
! Formation energy from raw total energies: -0.2732 eV/atom
! Crystal system: monoclinic
! Spin magnetization: 0.00 μB per atom
! E above lowest polymorph: 545 meV/atom



9.
! PrRe2N6, relaxed, DFT PBE; values from VASP
&SYSTEM
  ibrav = 0, nat = 18, ntyp = 3
/
ATOMIC_SPECIES
Pr 140.91 Pr.upf
Re 186.21 Re.upf
N 14.01 N.upf
ATOMIC_POSITIONS angstrom
Pr 1.268 1.268 1.268
Pr 8.877 8.877 8.877
Re 5.072 2.536 2.536
Re 2.536 5.072 2.536
Re 2.536 2.536 5.072
Re 5.072 5.072 5.072
N 3.804 3.804 1.778
N 3.804 1.778 3.804
N 5.831 3.804 3.804
N 6.341 6.341 4.314
N 6.341 4.314 6.341
N 8.367 6.341 6.341
N 1.778 3.804 3.804
N 3.804 5.831 3.804
N 3.804 3.804 5.831
N 4.314 6.341 6.341
N 6.341 8.367 6.341
N 6.341 6.341 8.367
CELL_PARAMETERS angstrom
0.000 5.072 5.072
5.072 0.000 5.072
5.072 5.072 0.000
! Formation energy from raw total energies: 0.5705 eV/atom
! Crystal system: cubic
! Spin magnetization: 0.00 μB per atom



10.
! Pr2Re2RuN6, relaxed, DFT PBE; values from VASP
&SYSTEM
  ibrav = 0, nat = 11, ntyp = 4
/
ATOMIC_SPECIES
Pr 140.91 Pr.upf
Re 186.21 Re.upf
Ru 101.07 Ru.upf
N 14.01 N.upf
ATOMIC_POSITIONS angstrom
Pr 0.000 0.000 3.268
Pr 0.000 0.000 13.092
Re 0.000 0.000 7.006
Re 0.000 0.000 9.354
Ru 0.000 0.000 0.000
N 0.000 -1.840 6.721
N -1.594 0.920 6.721
N -1.594 -0.920 9.639
N 1.594 0.920 6.721
N 1.594 -0.920 9.639
N 0.000 1.840 9.639
CELL_PARAMETERS angstrom
2.971 1.715 5.453
-2.971 1.715 5.453
0.000 -3.431 5.453
! Formation energy from raw total energies: -0.2093 eV/atom
! Crystal system: trigonal
! Spin magnetization: 0.00 μB per atom



11.
! PrSm2ReN4, relaxed, DFT PBE; values from VASP
&SYSTEM
  ibrav = 0, nat = 16, ntyp = 4
/
ATOMIC_SPECIES
Pr 140.91 Pr.upf
Sm 150.36 Sm.upf
Re 186.21 Re.upf
N 14.01 N.upf
ATOMIC_POSITIONS angstrom
Pr 1.765 4.589 8.942
Pr 1.765 -4.589 2.981
Sm 1.765 1.579 6.433
Sm 1.765 1.579 11.451
Sm 1.765 -1.579 0.472
Sm 1.765 -1.579 5.490
Re 1.765 4.220 2.981
Re 1.765 -4.220 8.942
N 0.000 0.000 0.000
N 0.000 0.000 5.962
N 1.765 2.807 1.580
N 1.765 2.807 4.381
N 1.765 0.835 8.942
N 1.765 -0.835 2.981
N 1.765 -2.807 7.542
N 1.765 -2.807 10.343
CELL_PARAMETERS angstrom
1.765 -5.994 0.000
1.765 5.994 0.000
0.000 0.000 11.923
! Formation energy from raw total energies: -0.9251 eV/atom
! Crystal system: orthorhombic
! Spin magnetization: 0.00 μB per atom



12.
! PrSmReN4, relaxed, DFT PBE; values from VASP
&SYSTEM
  ibrav = 0, nat = 7, ntyp = 4
/
ATOMIC_SPECIES
Pr 140.91 Pr.upf
Sm 150.36 Sm.upf
Re 186.21 Re.upf
N 14.01 N.upf
ATOMIC_POSITIONS angstrom
Pr 0.000 0.000 0.000
Sm 0.000 0.000 8.897
Re 0.000 0.000 4.431
N 0.000 0.000 2.369
N 1.953 0.000 4.429
N 0.000 0.000 6.552
N 0.000 1.953 4.429
CELL_PARAMETERS angstrom
-1.953 1.953 6.284
1.953 -1.953 6.284
1.953 1.953 -6.284
! Formation energy from raw total energies: -0.8757 eV/atom
! Crystal system: tetragonal
! Spin magnetization: 0.00 μB per atom